First-principles (PBE) data for a relaxed K4AuO crystal, as listed in Alexandria.

```
12
Lattice="7.1151 0.0000 0.0000 0.0000 7.1151 0.0000 0.0000 0.0000 8.4613" Properties=species:S:1:pos:R:3 pbc="T T T"
K 0.0000 0.0000 1.6318
K 0.0000 0.0000 6.8295
K 1.2919 2.2657 4.2306
K 2.2657 5.8232 4.2306
K 3.5575 3.5575 1.6318
K 3.5575 3.5575 6.8295
K 4.8494 1.2919 4.2306
K 5.8232 4.8494 4.2306
Au 0.0000 3.5575 0.0000
Au 3.5575 0.0000 0.0000
O 0.0000 0.0000 4.2306
O 3.5575 3.5575 4.2306
```

Summary:
Volume (Å³/cell): 428
Formation energy (no corrections) (eV/atom): -0.528
Crystal system: tetragonal
E (eV/atom): -2.632
E above lowest polymorph (meV/atom): 30
Total moment (μB/f.u.): 0.00